First-principles (PBE+U) data for crystalline Li19Ni23O42 at its relaxed geometry, as listed in Alexandria.

abc: 8.153 9.660 10.519
angles: 79.50 79.10 65.44
Atoms (fractional coordinates):
Li  0.000  0.000  0.000
Li  0.048  0.049  0.722
Li  0.091  0.092  0.427
Li  0.136  0.143  0.137
Li  0.191  0.190  0.860
Li  0.237  0.237  0.575
Li  0.333  0.334  0.998
Li  0.381  0.382  0.719
Li  0.433  0.430  0.428
Li  0.481  0.472  0.141
Li  0.519  0.528  0.859
Li  0.567  0.570  0.572
Li  0.619  0.618  0.281
Li  0.667  0.666  0.002
Li  0.763  0.763  0.425
Li  0.809  0.810  0.140
Li  0.864  0.857  0.863
Li  0.909  0.908  0.573
Li  0.952  0.951  0.278
Ni  0.023  0.533  0.857
Ni  0.073  0.578  0.572
Ni  0.121  0.613  0.287
Ni  0.166  0.669  0.000
Ni  0.210  0.721  0.715
Ni  0.264  0.758  0.429
Ni  0.285  0.281  0.288
Ni  0.311  0.803  0.144
Ni  0.355  0.861  0.856
Ni  0.400  0.906  0.570
Ni  0.458  0.946  0.286
Ni  0.500  0.000  0.000
Ni  0.542  0.054  0.714
Ni  0.600  0.094  0.430
Ni  0.645  0.139  0.144
Ni  0.689  0.197  0.856
Ni  0.715  0.719  0.712
Ni  0.736  0.242  0.571
Ni  0.790  0.279  0.285
Ni  0.834  0.331  0.000
Ni  0.879  0.387  0.713
Ni  0.927  0.422  0.428
Ni  0.977  0.467  0.143
O  0.035  0.747  0.436
O  0.044  0.274  0.286
O  0.063  0.341  0.002
O  0.081  0.793  0.140
O  0.123  0.410  0.711
O  0.123  0.859  0.859
O  0.166  0.420  0.428
O  0.174  0.897  0.559
O  0.212  0.462  0.150
O  0.214  0.922  0.291
O  0.253  0.537  0.864
O  0.268  0.994  0.993
O  0.300  0.043  0.702
O  0.304  0.589  0.562
O  0.363  0.099  0.425
O  0.365  0.624  0.299
O  0.397  0.671  0.010
O  0.409  0.140  0.151
O  0.457  0.183  0.865
O  0.460  0.723  0.723
O  0.489  0.768  0.437
O  0.511  0.232  0.563
O  0.540  0.277  0.277
O  0.543  0.817  0.135
O  0.591  0.860  0.849
O  0.603  0.329  0.990
O  0.635  0.376  0.701
O  0.637  0.901  0.575
O  0.696  0.411  0.438
O  0.700  0.957  0.298
O  0.732  0.006  0.007
O  0.747  0.463  0.136
O  0.786  0.078  0.709
O  0.788  0.538  0.850
O  0.826  0.103  0.441
O  0.834  0.580  0.572
O  0.877  0.141  0.141
O  0.877  0.590  0.289
O  0.919  0.207  0.860
O  0.937  0.659  0.998
O  0.956  0.726  0.714
O  0.965  0.253  0.564

Calculated values
- space-group type = P-1
- V (Å³ per cell) = 734.9
- final energy (eV per atom) = -4.851



First-principles (PBE+U) data for crystalline LiNi2O4 at its relaxed geometry, as listed in Alexandria.

abc: 5.000 2.811 5.130
angles: 90.00 108.81 90.00
Atoms (fractional coordinates):
Li  0.000  0.000  0.000
Ni  0.000  0.500  0.500
Ni  0.500  0.000  0.500
O  0.206  0.000  0.715
O  0.256  0.500  0.303
O  0.744  0.500  0.697
O  0.794  0.000  0.285

Calculated values
- space-group type = P2/m
- V (Å³ per cell) = 68.2
- excess energy over the best structure of this formula in the dataset (eV/atom) = 0.034



First-principles (PBE+U) data for crystalline Li5NiO3 at its relaxed geometry, as listed in Alexandria.

abc: 5.888 5.888 6.689
angles: 106.55 106.55 47.84
Atoms (fractional coordinates):
Li  0.081  0.586  0.916
Li  0.088  0.581  0.418
Li  0.172  0.828  0.750
Li  0.414  0.919  0.584
Li  0.419  0.912  0.082
Li  0.581  0.088  0.918
Li  0.586  0.081  0.416
Li  0.828  0.172  0.250
Li  0.912  0.419  0.582
Li  0.919  0.414  0.084
Ni  0.342  0.658  0.250
Ni  0.658  0.342  0.750
O  0.000  0.000  0.000
O  0.000  0.000  0.500
O  0.311  0.329  0.660
O  0.329  0.311  0.160
O  0.671  0.689  0.840
O  0.689  0.671  0.340

Calculated values
- space-group type = C2/c
- V (Å³ per cell) = 163.4
- final energy (eV per atom) = -4.457



First-principles (PBE+U) data for crystalline LiNiO2 at its relaxed geometry, as listed in Alexandria.

abc: 4.990 5.817 6.504
angles: 103.08 97.72 105.61
Atoms (fractional coordinates):
Li  0.000  0.000  0.000
Li  0.202  0.398  0.395
Li  0.392  0.794  0.796
Li  0.608  0.206  0.204
Li  0.798  0.602  0.605
Ni  0.000  0.500  0.000
Ni  0.198  0.898  0.399
Ni  0.402  0.303  0.799
Ni  0.598  0.697  0.201
Ni  0.802  0.102  0.601
O  0.090  0.962  0.682
O  0.093  0.450  0.723
O  0.276  0.823  0.103
O  0.284  0.362  0.089
O  0.487  0.766  0.496
O  0.513  0.234  0.504
O  0.716  0.638  0.911
O  0.724  0.177  0.897
O  0.907  0.550  0.277
O  0.910  0.038  0.318

Calculated values
- space-group type = P-1
- V (Å³ per cell) = 173.2
- final energy (eV per atom) = -4.864



First-principles (PBE+U) data for crystalline LiNiO2 at its relaxed geometry, as listed in Alexandria.

abc: 2.820 2.988 5.060
angles: 93.18 90.13 118.04
Atoms (fractional coordinates):
Li  0.000  0.000  0.000
Ni  0.333  0.667  0.434
O  0.688  0.378  0.209
O  0.997  0.992  0.628

Calculated values
- space-group type = P1
- V (Å³ per cell) = 37.6
- final energy (eV per atom) = -4.835



First-principles (PBE+U) data for crystalline Li2Ni5O5 at its relaxed geometry, as listed in Alexandria.

abc: 5.460 5.460 5.460
angles: 101.27 101.27 127.52
Atoms (fractional coordinates):
Li  0.000  0.500  0.500
Li  0.500  0.000  0.500
Ni  0.147  0.147  0.000
Ni  0.374  0.374  0.591
Ni  0.374  0.782  0.000
Ni  0.782  0.374  0.000
Ni  0.782  0.782  0.409
O  0.259  0.546  0.287
O  0.259  0.972  0.713
O  0.546  0.259  0.287
O  0.729  0.729  0.000
O  0.972  0.259  0.713

Calculated values
- space-group type = I4mm
- V (Å³ per cell) = 115.8
- final energy (eV per atom) = -4.249